No. 1
Material: Rb2CaF2
Method: DFT, GGA-PBE
State: relaxed

Cell: 9.794 9.794 3.700 Å, 90.00 90.00 90.00°
Atoms (fractional coordinates):
Ca (0.500, 0.500, 0.000)
Ca (0.000, 0.000, 0.000)
F (0.107, 0.607, 0.500)
F (0.893, 0.393, 0.500)
F (0.607, 0.893, 0.500)
F (0.393, 0.107, 0.500)
Rb (0.886, 0.614, 0.000)
Rb (0.614, 0.114, 0.000)
Rb (0.114, 0.386, 0.000)
Rb (0.386, 0.886, 0.000)

Values from the calculation:
Formation energy without anion corrections, eV/atom: -1.518
Magnetization, Bohr magnetons per cell: 0.00
Energy above the lowest structure with this stoichiometry, eV per atom: 0.302

No. 2
Material: RbCaF3
Method: DFT, GGA-PBE
State: relaxed

Cell: 15.457 6.601 6.601 Å, 141.53 145.59 34.41°
Atoms (fractional coordinates):
F (0.826, 0.225, 0.775)
F (0.364, 0.794, 0.206)
F (0.023, 0.655, 0.345)
F (0.977, 0.345, 0.655)
F (0.636, 0.206, 0.794)
F (0.174, 0.775, 0.225)
Ca (0.919, 0.949, 0.051)
Ca (0.081, 0.051, 0.949)
Rb (0.388, 0.986, 0.014)
Rb (0.612, 0.014, 0.986)

Values from the calculation:
Formation energy without anion corrections, eV/atom: -3.418
Magnetization, Bohr magnetons per cell: 0.00

No. 3
Material: RbCaF3
Method: DFT, GGA-PBE
State: relaxed

Cell: 20.348 6.027 8.035 Å, 90.00 158.32 90.00°
Atoms (fractional coordinates):
F (0.371, 0.250, 0.371)
F (0.450, 0.189, 0.950)
F (0.739, 0.478, 0.239)
F (0.629, 0.750, 0.629)
F (0.239, 0.022, 0.739)
F (0.950, 0.311, 0.450)
F (0.261, 0.522, 0.761)
F (0.550, 0.811, 0.050)
F (0.129, 0.750, 0.129)
F (0.871, 0.250, 0.871)
F (0.761, 0.978, 0.261)
F (0.050, 0.689, 0.550)
Rb (0.905, 0.750, 0.905)
Rb (0.405, 0.750, 0.405)
Rb (0.095, 0.250, 0.095)
Rb (0.595, 0.250, 0.595)
Ca (0.619, 0.194, 0.119)
Ca (0.119, 0.306, 0.619)
Ca (0.881, 0.694, 0.381)
Ca (0.381, 0.806, 0.881)

Values from the calculation:
Formation energy without anion corrections, eV/atom: -3.386
Magnetization, Bohr magnetons per cell: 0.15

No. 4
Material: RbCaF3
Method: DFT, GGA-PBE
State: relaxed

Cell: 4.418 4.418 11.419 Å, 78.85 78.85 90.00°
Atoms (fractional coordinates):
F (0.111, 0.357, 0.778)
F (0.136, 0.889, 0.222)
F (0.643, 0.889, 0.222)
F (0.314, 0.314, 0.372)
F (0.686, 0.686, 0.628)
F (0.111, 0.864, 0.778)
Rb (0.250, 0.750, 0.500)
Rb (0.000, 0.000, 0.000)
Ca (0.636, 0.136, 0.727)
Ca (0.864, 0.364, 0.273)

Values from the calculation:
Formation energy without anion corrections, eV/atom: -2.706
Magnetization, Bohr magnetons per cell: 0.00

No. 5
Material: RbCaF3
Method: DFT, GGA-PBE
State: relaxed

Cell: 18.162 7.592 7.592 Å, 152.60 150.72 29.28°
Atoms (fractional coordinates):
F (0.718, 0.335, 0.665)
F (0.556, 0.255, 0.745)
F (0.885, 0.797, 0.203)
F (0.282, 0.665, 0.335)
F (0.115, 0.203, 0.797)
F (0.444, 0.745, 0.255)
Rb (0.127, 0.002, 0.998)
Rb (0.873, 0.998, 0.002)
Ca (0.364, 0.988, 0.012)
Ca (0.636, 0.012, 0.988)

Values from the calculation:
Formation energy without anion corrections, eV/atom: -3.346
Magnetization, Bohr magnetons per cell: 0.00

No. 6
Material: RbCaF3
Method: DFT, GGA-PBE
State: relaxed

Cell: 8.556 8.556 5.669 Å, 90.00 90.00 147.83°
Atoms (fractional coordinates):
Rb (0.818, 0.182, 0.750)
Rb (0.182, 0.818, 0.250)
F (0.000, 0.000, 0.000)
F (0.073, 0.417, 0.250)
F (0.583, 0.927, 0.250)
F (0.927, 0.583, 0.750)
F (0.417, 0.073, 0.750)
F (0.000, 0.000, 0.500)
Ca (0.427, 0.573, 0.250)
Ca (0.573, 0.427, 0.750)

Values from the calculation:
Formation energy without anion corrections, eV/atom: -2.744
Magnetization, Bohr magnetons per cell: 0.00